Material: BaCoSeO
Method: DFT, PBE with a Hubbard U
State: optimized geometry

POSCAR file:
```
BaCoSeO
1.0
-6.596 4.045 0.218
-0.627 -1.202 3.322
6.281 9.984 4.797
Co O Ba Se
4 4 4 4
direct
0.826 0.250 0.948
0.674 0.750 0.448
0.326 0.250 0.552
0.174 0.750 0.052
0.251 0.750 0.624
0.749 0.250 0.376
0.249 0.250 0.124
0.751 0.750 0.876
0.954 0.750 0.710
0.454 0.750 0.790
0.546 0.250 0.210
0.046 0.250 0.290
0.850 0.750 0.104
0.650 0.250 0.604
0.150 0.250 0.896
0.350 0.750 0.396
```

Total magnetization in μB/f.u.: 3.0
Space group: Pnma, No. 62
VASP energy in eV/atom: -5.033